## one
Material: CsSi2
Method: DFT, PBE
State: optimized geometry

The value obtained for the density is 3.20 Mg/m³. Its density of states at the Fermi level is 1.17 states/eV/cell.

The structure belongs to space group P-1 (No. 2); the cell edges are 3.870, 7.252 and 7.927 Å and the angles 106.36°, 103.34° and 104.12°. The inequivalent atoms are Cs at (0.248, 0.188, 0.300), Si at (0.046, 0.378, 0.767) and Si at (0.385, 0.658, 0.057).

=====

## two
Material: CsSi2
Method: DFT, PBE
State: optimized geometry

The value obtained for the density is 3.39 Mg/m³. Its density of states at the Fermi level is 2.39 states/eV/cell.

The structure belongs to space group Pmn2_1 (No. 31); the cell edges are 3.916, 7.062 and 6.697 Å and the angles 90.00°, 90.00° and 90.00°. The inequivalent atoms are Cs at (0.000, 0.110, 0.000), Si at (0.000, 0.408, 0.524) and Si at (0.000, 0.584, 0.828).

=====

Which is the most stable structure? one is the most stable.

=====

## one
Material: CsSi2
Method: DFT, PBE
State: optimized geometry

The value obtained for the density is 3.85 Mg/m³. Its density of states at the Fermi level is 4.28 states/eV/cell.

The structure belongs to space group I4/mmm (No. 139); the cell edges are 3.510, 3.510 and 13.250 Å and the angles 90.00°, 90.00° and 90.00°. The inequivalent atoms are Cs at (0.000, 0.000, 0.000) and Si at (0.000, 0.000, 0.268).

=====

## two
Material: CsSi2
Method: DFT, PBE
State: optimized geometry

The value obtained for the density is 3.17 Mg/m³. Its density of states at the Fermi level is 3.26 states/eV/cell.

The structure belongs to space group Cm (No. 8); the cell edges are 13.355, 7.470 and 4.099 Å and the angles 90.00°, 104.12° and 90.00°. The inequivalent atoms are Cs at (0.000, 0.000, 0.000), Cs at (0.166, 0.500, 0.687), Si at (0.237, 0.000, 0.629), Si at (0.352, 0.170, 0.394) and Si at (0.417, 0.000, 0.939).

=====

Which is the most stable structure? two is the most stable.

=====

## one
Material: Cs2SiSn2
Method: DFT, PBE
State: optimized geometry

The value obtained for the density is 4.01 Mg/m³. Its density of states at the Fermi level is 8.75 states/eV/cell.

The structure belongs to space group P4/mbm (No. 127); the cell edges are 11.279, 11.279 and 3.458 Å and the angles 90.00°, 90.00° and 90.00°. The inequivalent atoms are Cs at (0.208, 0.292, 0.000), Si at (0.000, 0.000, 0.500) and Sn at (0.088, 0.588, 0.500).

=====

## two
Material: Cs2SiSn2
Method: DFT, PBE
State: optimized geometry

The value obtained for the density is 4.11 Mg/m³. Its density of states at the Fermi level is 6.80 states/eV/cell.

The structure belongs to space group I4/mmm (No. 139); the cell edges are 4.218, 4.218 and 24.145 Å and the angles 90.00°, 90.00° and 90.00°. The inequivalent atoms are Cs at (0.000, 0.000, 0.097), Si at (0.000, 0.000, 0.500) and Sn at (0.000, 0.500, 0.250).

=====

Which is the most stable structure? two is the most stable.

=====

## one
Material: CsSr2Si2
Method: DFT, PBE
State: optimized geometry

The value obtained for the density is 3.70 Mg/m³. Its density of states at the Fermi level is 7.71 states/eV/cell.

The structure belongs to space group P4/mbm (No. 127); the cell edges are 9.687, 9.687 and 3.481 Å and the angles 90.00°, 90.00° and 90.00°. The inequivalent atoms are Cs at (0.000, 0.000, 0.000), Sr at (0.130, 0.370, 0.000) and Si at (0.167, 0.667, 0.500).

=====

## two
Material: CsSr2Si2
Method: DFT, PBE
State: optimized geometry

The value obtained for the density is 3.45 Mg/m³. Its density of states at the Fermi level is 9.43 states/eV/cell.

The structure belongs to space group P4/mbm (No. 127); the cell edges are 8.642, 8.642 and 4.691 Å and the angles 90.00°, 90.00° and 90.00°. The inequivalent atoms are Cs at (0.000, 0.000, 0.000), Sr at (0.166, 0.334, 0.500) and Si at (0.097, 0.597, 0.000).

=====

Which is the most stable structure? two is the most stable.

=====

## one
Material: CsTa3Si
Method: DFT, PBE
State: optimized geometry

The value obtained for the density is 9.24 Mg/m³. Its density of states at the Fermi level is 3.87 states/eV/cell.

The structure belongs to space group Pm-3m (No. 221); the cell edges are 5.020, 5.020 and 5.020 Å and the angles 90.00°, 90.00° and 90.00°. The inequivalent atoms are Cs at (0.000, 0.000, 0.000), Ta at (0.000, 0.000, 0.500) and Si at (0.500, 0.500, 0.500).

=====

## two
Material: CsTa3Si
Method: DFT, PBE
State: optimized geometry

The value obtained for the density is 9.94 Mg/m³. Its density of states at the Fermi level is 7.20 states/eV/cell.

The structure belongs to space group Pm-3m (No. 221); the cell edges are 4.899, 4.899 and 4.899 Å and the angles 90.00°, 90.00° and 90.00°. The inequivalent atoms are Cs at (0.000, 0.000, 0.000), Ta at (0.000, 0.500, 0.500) and Si at (0.500, 0.500, 0.500).

=====

Which is the most stable structure? two is the most stable.

=====

## one
Material: CsTaSi3
Method: DFT, PBE
State: optimized geometry

The value obtained for the density is 4.93 Mg/m³. Its density of states at the Fermi level is 6.02 states/eV/cell.

The structure belongs to space group Pm-3m (No. 221); the cell edges are 5.117, 5.117 and 5.117 Å and the angles 90.00°, 90.00° and 90.00°. The inequivalent atoms are Cs at (0.000, 0.000, 0.000), Ta at (0.500, 0.500, 0.500) and Si at (0.000, 0.000, 0.500).

=====

## two
Material: CsTaSi3
Method: DFT, PBE
State: optimized geometry

The value obtained for the density is 5.14 Mg/m³. Its density of states at the Fermi level is 0.88 states/eV/cell.

The structure belongs to space group Pm-3m (No. 221); the cell edges are 5.047, 5.047 and 5.047 Å and the angles 90.00°, 90.00° and 90.00°. The inequivalent atoms are Cs at (0.000, 0.000, 0.000), Ta at (0.500, 0.500, 0.500) and Si at (0.000, 0.500, 0.500).

=====

Which is the most stable structure? two is the most stable.

=====

## one
Material: CsTaSi2
Method: DFT, PBE
State: optimized geometry

The value obtained for the density is 7.05 Mg/m³. Its density of states at the Fermi level is 15.20 states/eV/cell.

The structure belongs to space group Fm-3m (No. 225); the cell edges are 7.036, 7.036 and 7.036 Å and the angles 90.00°, 90.00° and 90.00°. The inequivalent atoms are Cs at (0.000, 0.000, 0.000), Ta at (0.000, 0.000, 0.500) and Si at (0.250, 0.250, 0.250).

=====

## two
Material: CsTaSi2
Method: DFT, PBE
State: optimized geometry

The value obtained for the density is 4.04 Mg/m³. Its density of states at the Fermi level is 15.09 states/eV/cell.

The structure belongs to space group I4_1/amd (No. 141, origin choice 2); the cell edges are 6.333, 6.333 and 15.164 Å and the angles 90.00°, 90.00° and 90.00°. The inequivalent atoms are Cs at (0.000, 0.250, 0.375), Ta at (0.000, 0.250, 0.875) and Si at (0.000, 0.000, 0.000).

=====

Which is the most stable structure? two is the most stable.

=====

## one
Material: CsSi3Te
Method: DFT, PBE
State: optimized geometry

The value obtained for the density is 3.24 Mg/m³. Its density of states at the Fermi level is 8.92 states/eV/cell.

The structure belongs to space group Pm-3m (No. 221); the cell edges are 5.612, 5.612 and 5.612 Å and the angles 90.00°, 90.00° and 90.00°. The inequivalent atoms are Cs at (0.000, 0.000, 0.000), Si at (0.000, 0.000, 0.500) and Te at (0.500, 0.500, 0.500).

=====

## two
Material: CsSi3Te
Method: DFT, PBE
State: optimized geometry

The value obtained for the density is 3.41 Mg/m³. Its density of states at the Fermi level is 4.57 states/eV/cell.

The structure belongs to space group Pm-3m (No. 221); the cell edges are 5.519, 5.519 and 5.519 Å and the angles 90.00°, 90.00° and 90.00°. The inequivalent atoms are Cs at (0.000, 0.000, 0.000), Si at (0.000, 0.500, 0.500) and Te at (0.500, 0.500, 0.500).

=====

Which is the most stable structure? two is the most stable.

=====

## one
Material: CsTi2Si2
Method: DFT, PBE
State: optimized geometry

The value obtained for the density is 3.18 Mg/m³. Its density of states at the Fermi level is 7.08 states/eV/cell.

The structure belongs to space group I4/mmm (No. 139); the cell edges are 4.550, 4.550 and 14.389 Å and the angles 90.00°, 90.00° and 90.00°. The inequivalent atoms are Cs at (0.000, 0.000, 0.000), Ti at (0.000, 0.500, 0.250) and Si at (0.000, 0.000, 0.326).

=====

## two
Material: CsTi2Si2
Method: DFT, PBE
State: optimized geometry

The value obtained for the density is 4.37 Mg/m³. Its density of states at the Fermi level is 7.30 states/eV/cell.

The structure belongs to space group P4/mbm (No. 127); the cell edges are 8.559, 8.559 and 2.954 Å and the angles 90.00°, 90.00° and 90.00°. The inequivalent atoms are Cs at (0.000, 0.000, 0.000), Ti at (0.121, 0.379, 0.500) and Si at (0.148, 0.648, 0.000).

=====

Which is the most stable structure? one is the most stable.

=====

## one
Material: CsTl2Si2
Method: DFT, PBE
State: optimized geometry

The value obtained for the density is 5.71 Mg/m³. Its density of states at the Fermi level is 4.43 states/eV/cell.

The structure belongs to space group P4/mbm (No. 127); the cell edges are 9.187, 9.187 and 4.122 Å and the angles 90.00°, 90.00° and 90.00°. The inequivalent atoms are Cs at (0.000, 0.000, 0.000), Tl at (0.139, 0.361, 0.500) and Si at (0.091, 0.591, 0.000).

=====

## two
Material: CsTl2Si2
Method: DFT, PBE
State: optimized geometry

The value obtained for the density is 6.81 Mg/m³. Its density of states at the Fermi level is 2.93 states/eV/cell.

The structure belongs to space group I4/mmm (No. 139); the cell edges are 5.283, 5.283 and 10.443 Å and the angles 90.00°, 90.00° and 90.00°. The inequivalent atoms are Cs at (0.000, 0.000, 0.000), Tl at (0.000, 0.500, 0.250) and Si at (0.000, 0.000, 0.386).

=====

Which is the most stable structure? two is the most stable.

=====

## one
Material: CsTlSi3
Method: DFT, PBE
State: optimized geometry

The value obtained for the density is 4.22 Mg/m³. Its density of states at the Fermi level is 4.49 states/eV/cell.

The structure belongs to space group Pm-3m (No. 221); the cell edges are 5.493, 5.493 and 5.493 Å and the angles 90.00°, 90.00° and 90.00°. The inequivalent atoms are Cs at (0.000, 0.000, 0.000), Tl at (0.500, 0.500, 0.500) and Si at (0.000, 0.500, 0.500).

=====

## two
Material: CsTlSi3
Method: DFT, PBE
State: optimized geometry

The value obtained for the density is 3.76 Mg/m³. Its density of states at the Fermi level is 3.42 states/eV/cell.

The structure belongs to space group Pm-3m (No. 221); the cell edges are 5.709, 5.709 and 5.709 Å and the angles 90.00°, 90.00° and 90.00°. The inequivalent atoms are Cs at (0.000, 0.000, 0.000), Tl at (0.500, 0.500, 0.500) and Si at (0.000, 0.000, 0.500).

=====

Which is the most stable structure? one is the most stable.

=====

## one
Material: CsTl3Si
Method: DFT, PBE
State: optimized geometry

The value obtained for the density is 4.97 Mg/m³. Its density of states at the Fermi level is 8.14 states/eV/cell.

The structure belongs to space group Pm-3m (No. 221); the cell edges are 6.371, 6.371 and 6.371 Å and the angles 90.00°, 90.00° and 90.00°. The inequivalent atoms are Cs at (0.000, 0.000, 0.000), Tl at (0.000, 0.000, 0.500) and Si at (0.500, 0.500, 0.500).

=====

## two
Material: CsTl3Si
Method: DFT, PBE
State: optimized geometry

The value obtained for the density is 6.88 Mg/m³. Its density of states at the Fermi level is 3.43 states/eV/cell.

The structure belongs to space group Pm-3m (No. 221); the cell edges are 5.717, 5.717 and 5.717 Å and the angles 90.00°, 90.00° and 90.00°. The inequivalent atoms are Cs at (0.000, 0.000, 0.000), Tl at (0.000, 0.500, 0.500) and Si at (0.500, 0.500, 0.500).

=====

Which is the most stable structure? two is the most stable.

=====

## one
Material: CsTl2Si
Method: DFT, PBE
State: optimized geometry

The value obtained for the density is 6.05 Mg/m³. Its density of states at the Fermi level is 17.48 states/eV/cell.

The structure belongs to space group I-42d (No. 122); the cell edges are 9.025, 9.025 and 7.674 Å and the angles 90.00°, 90.00° and 90.00°. The inequivalent atoms are Cs at (0.000, 0.000, 0.000), Tl at (0.150, 0.250, 0.625) and Si at (0.000, 0.000, 0.500).

=====

## two
Material: CsTl2Si
Method: DFT, PBE
State: optimized geometry

The value obtained for the density is 7.24 Mg/m³. Its density of states at the Fermi level is 11.18 states/eV/cell.

The structure belongs to space group Fm-3m (No. 225); the cell edges are 8.054, 8.054 and 8.054 Å and the angles 90.00°, 90.00° and 90.00°. The inequivalent atoms are Cs at (0.000, 0.000, 0.000), Tl at (0.250, 0.250, 0.250) and Si at (0.000, 0.000, 0.500).

=====

Which is the most stable structure? one is the most stable.